1.
Below is an optimized crystal structure of NaTe2N, with properties calculated at the PBE-GGA level.

Lattice parameters (Å, degrees): 5.038 5.038 5.038 60.00 60.00 60.00
Positions (direct):
Na 0.000 0.000 0.000
Te 0.250 0.250 0.250
Te 0.750 0.750 0.750
N 0.500 0.500 0.500

Output
**E_form (uncorrected)**: 1.051 eV/atom



2.
Below is an optimized crystal structure of NaTe2N, with properties calculated at the PBE-GGA level.

Lattice parameters (Å, degrees): 9.476 9.476 9.476 21.03 21.03 21.03
Positions (direct):
Na 0.000 0.000 0.000
Te 0.111 0.111 0.111
Te 0.889 0.889 0.889
N 0.500 0.500 0.500

Output
**E_form (uncorrected)**: 0.772 eV/atom



One value per record, in order, for magnetic moment: 0.44 0.00 μB per atom.
One value per record, in order, for calculated density: 5.4 5.1 g cm⁻³.
One value per record, in order, for relative energy among the computed polymorphs: 0.678 0.399 eV/atom.